Density functional theory data (PBE) for a geometry-optimized RbCoAs2Br structure.

energy above the most stable polymorph in this dataset = 0.0 kJ per mole of atoms
theoretical density = 3.5 g/cm³
formation energy (no corrections) = -0.238 eV/atom

a b c (Å): 4.4562 4.4562 8.9575
angles (deg): 90.00 90.00 90.00
Positions (direct):
Br (0.0000, 0.0000, 0.5000)
Rb (0.5000, 0.5000, 0.5000)
As (0.5000, 0.0000, 0.0000)
As (0.0000, 0.5000, 0.0000)
Co (0.0000, 0.0000, 0.0000)

Density functional theory data (PBE) for a geometry-optimized Rb2CoAsBr6 structure.

theoretical density = 4.3 g/cm³
formation energy (no corrections) = -0.803 eV/atom

a b c (Å): 7.5435 7.5435 7.5481
angles (deg): 60.02 60.02 90.00
Positions (direct):
Rb (0.2500, 0.7500, 0.5000)
Rb (0.7500, 0.2500, 0.5000)
Br (0.2553, 0.2553, 0.0000)
Br (0.2553, 0.7447, 0.0000)
Br (0.7444, 0.7444, 0.5113)
Br (0.2556, 0.2556, 0.4887)
Br (0.7447, 0.7447, 0.0000)
Br (0.7447, 0.2553, 0.0000)
Co (0.5000, 0.5000, 0.0000)
As (0.0000, 0.0000, 0.0000)

Density functional theory data (PBE) for a geometry-optimized RbCoAsBr2 structure.

energy above the most stable polymorph in this dataset = 136.9 kJ per mole of atoms
theoretical density = 2.4 g/cm³
formation energy (no corrections) = 0.995 eV/atom

a b c (Å): 6.3933 6.3933 6.3764
angles (deg): 90.00 90.00 90.00
Positions (direct):
Co (0.5000, 0.5000, 0.5000)
As (0.0000, 0.0000, 0.5000)
Br (0.0000, 0.5000, 0.0000)
Br (0.5000, 0.0000, 0.0000)
Rb (0.0000, 0.0000, 0.0000)

Density functional theory data (PBE) for a geometry-optimized RbCoAsBr2 structure.

energy above the most stable polymorph in this dataset = 0.0 kJ per mole of atoms
theoretical density = 4.8 g/cm³
formation energy (no corrections) = -0.424 eV/atom

a b c (Å): 5.4694 5.4694 4.4064
angles (deg): 90.00 90.00 90.00
Positions (direct):
Br (0.0000, 0.5000, 0.0000)
Br (0.5000, 0.0000, 0.0000)
Co (0.0000, 0.0000, 0.0000)
Rb (0.5000, 0.5000, 0.5000)
As (0.0000, 0.0000, 0.5000)